# 1
Computed, not measured: crystalline CeThHg at its relaxed geometry at the PBE level of DFT.

The offset from the most stable computed form is 127 meV/atom. As for the calculated formation energy: -2 meV per atom. The calculation puts the spin magnetization at 1.08 μB/f.u.

Geometry as CIF:
```
data_CeThHg
_chemical_formula_sum 'Ce1 Th1 Hg1'
_cell_length_a 3.484
_cell_length_b 5.260
_cell_length_c 5.260
_cell_angle_alpha 120.00
_cell_angle_beta 90.00
_cell_angle_gamma 90.00
_space_group_name_H-M_alt 'P 1'
_space_group_IT_number 1
loop_
_space_group_symop_operation_xyz
'x,y,z'
loop_
_atom_site_label
_atom_site_type_symbol
_atom_site_fract_x
_atom_site_fract_y
_atom_site_fract_z
Ce1 Ce 0.987 0.000 0.000
Hg1 Hg 0.656 0.667 0.333
Th1 Th 0.356 0.333 0.667
```

=====

# 2
Computed, not measured: crystalline CeThHg at its relaxed geometry at the PBE level of DFT.

The offset from the most stable computed form is 0 meV/atom. As for the calculated formation energy: -129 meV per atom. The calculation puts the spin magnetization at 0.00 μB/f.u.

Geometry as CIF:
```
data_CeThHg
_chemical_formula_sum 'Ce2 Th2 Hg2'
_cell_length_a 3.554
_cell_length_b 5.576
_cell_length_c 8.512
_cell_angle_alpha 90.07
_cell_angle_beta 102.05
_cell_angle_gamma 90.00
_space_group_name_H-M_alt 'P 1'
_space_group_IT_number 1
loop_
_space_group_symop_operation_xyz
'x,y,z'
loop_
_atom_site_label
_atom_site_type_symbol
_atom_site_fract_x
_atom_site_fract_y
_atom_site_fract_z
Ce1 Ce 0.241 0.741 0.483
Ce2 Ce 0.759 0.259 0.517
Th1 Th 0.428 0.245 0.856
Th2 Th 0.572 0.755 0.144
Hg1 Hg 0.100 0.254 0.199
Hg2 Hg 0.900 0.746 0.801
```

=====

# 3
Computed, not measured: crystalline CeThHg2 at its relaxed geometry at the PBE level of DFT.

The offset from the most stable computed form is 0 meV/atom. As for the calculated formation energy: -256 meV per atom. The calculation puts the spin magnetization at 1.15 μB/f.u.

Geometry as CIF:
```
data_CeThHg2
_chemical_formula_sum 'Ce1 Th1 Hg2'
_cell_length_a 4.572
_cell_length_b 4.852
_cell_length_c 4.852
_cell_angle_alpha 90.00
_cell_angle_beta 90.00
_cell_angle_gamma 90.00
_space_group_name_H-M_alt 'P 1'
_space_group_IT_number 1
loop_
_space_group_symop_operation_xyz
'x,y,z'
loop_
_atom_site_label
_atom_site_type_symbol
_atom_site_fract_x
_atom_site_fract_y
_atom_site_fract_z
Ce1 Ce 0.500 0.000 0.000
Hg1 Hg 0.000 0.000 0.500
Hg2 Hg 0.000 0.500 0.000
Th1 Th 0.500 0.500 0.500
```

=====

# 4
Computed, not measured: crystalline Ce3ThHg4 at its relaxed geometry at the PBE level of DFT.

As for the calculated formation energy: -258 meV per atom. The calculation puts the spin magnetization at 4.81 μB/f.u.

Geometry as CIF:
```
data_Ce3ThHg4
_chemical_formula_sum 'Ce3 Th1 Hg4'
_cell_length_a 3.821
_cell_length_b 5.426
_cell_length_c 10.842
_cell_angle_alpha 90.00
_cell_angle_beta 90.00
_cell_angle_gamma 90.00
_space_group_name_H-M_alt 'P 1'
_space_group_IT_number 1
loop_
_space_group_symop_operation_xyz
'x,y,z'
loop_
_atom_site_label
_atom_site_type_symbol
_atom_site_fract_x
_atom_site_fract_y
_atom_site_fract_z
Th1 Th 0.500 0.500 0.000
Ce1 Ce 0.500 0.000 0.250
Ce2 Ce 0.500 0.500 0.500
Ce3 Ce 0.500 0.000 0.750
Hg1 Hg 0.000 0.000 0.500
Hg2 Hg 0.000 0.500 0.749
Hg3 Hg 0.000 0.000 0.000
Hg4 Hg 0.000 0.500 0.251
```